The following is a DFT calculation (GGA-PBE) of crystalline TeAs2RuBr at its relaxed geometry.

The value obtained for the density of states at the Fermi level is 3.45 states/eV/cell. For the calculated volume, the calculation gives 118 Å³/cell. The polymorph energy (0 for the lowest one) comes out at 0 meV per atom. For the uncorrected energy, the calculation gives -4.2942 eV/atom. The total magnetization comes out at 0.00 Bohr magnetons per cell.

It has space group P4/mmm (No. 123), with a = 4.8250 Å, b = 4.8250 Å, c = 5.0705 Å, α = 90.00°, β = 90.00° and γ = 90.00°. Symmetry generates all atoms from Te at (0.0000, 0.0000, 0.0000), As at (0.0000, 0.5000, 0.5000), Ru at (0.5000, 0.5000, 0.5000) and Br at (0.5000, 0.5000, 0.0000).